Compound: LaPm2Pr6Y
Source: the Alexandria database
Functional: PBE-GGA
Structure: relaxed

Cell: 9.9444 9.1152 9.1152 Å, 118.55 94.29 94.29°
Sites, in units of the cell vectors:
La: 0.2500 0.4061 0.5939
La: 0.7500 0.5939 0.4061
Pm: 0.4565 0.8091 0.7076
Pm: 0.0435 0.2924 0.1909
Pm: 0.5435 0.1909 0.2924
Pm: 0.9565 0.7076 0.8091
Pr: 0.0542 0.1170 0.7585
Pr: 0.4458 0.2415 0.8830
Pr: 0.9458 0.8830 0.2415
Pr: 0.5542 0.7585 0.1170
Pr: 0.3152 0.9785 0.4293
Pr: 0.1848 0.5707 0.0215
Pr: 0.6848 0.0215 0.5707
Pr: 0.8152 0.4293 0.9785
Pr: 0.1194 0.7073 0.4973
Pr: 0.3806 0.5027 0.2927
Pr: 0.8806 0.2927 0.5027
Pr: 0.6194 0.4973 0.7073
Y: 0.2500 0.9743 0.0257
Y: 0.7500 0.0257 0.9743

## Properties
SG   C2/c (15)
Crystal system   monoclinic
VASP energy   -4.849 eV per atom